# 1
A geometry-optimized ZnI2N structure, computed with PBEsol.

CIF file:
```
data_ZnI2N
_cell_length_a 5.363
_cell_length_b 5.363
_cell_length_c 7.979
_cell_angle_alpha 109.64
_cell_angle_beta 109.64
_cell_angle_gamma 90.00
_symmetry_space_group_name_H-M 'P 1'
_symmetry_Int_Tables_number 1
loop_
_symmetry_equiv_pos_as_xyz
'x,y,z'
loop_
_atom_site_label
_atom_site_fract_x
_atom_site_fract_y
_atom_site_fract_z
_atom_site_occupancy
I1 0.125 0.184 0.750 1
I2 0.434 0.875 0.250 1
Zn1 0.250 0.750 0.500 1
I3 0.625 0.566 0.750 1
Zn2 0.000 0.000 0.000 1
N1 0.750 0.250 0.500 1
I4 0.816 0.375 0.250 1
N2 0.500 0.500 0.000 1
```

Properties
Its formation energy (no corrections) is 4.11 eV per formula unit.

# 2
A geometry-optimized ZnIN2 structure, computed with PBEsol.

CIF file:
```
data_ZnIN2
_cell_length_a 3.666
_cell_length_b 3.666
_cell_length_c 6.067
_cell_angle_alpha 72.41
_cell_angle_beta 72.41
_cell_angle_gamma 60.00
_symmetry_space_group_name_H-M 'P 1'
_symmetry_Int_Tables_number 1
loop_
_symmetry_equiv_pos_as_xyz
'x,y,z'
loop_
_atom_site_label
_atom_site_fract_x
_atom_site_fract_y
_atom_site_fract_z
_atom_site_occupancy
Zn1 0.000 0.000 0.000 1
N1 0.893 0.893 0.322 1
N2 0.107 0.107 0.678 1
I1 0.500 0.500 0.500 1
```

Properties
Its formation energy (no corrections) is 4.80 eV per formula unit.

# 3
A geometry-optimized ZrZnI2N structure, computed with PBEsol.

CIF file:
```
data_ZrZnI2N
_cell_length_a 3.945
_cell_length_b 5.841
_cell_length_c 5.841
_cell_angle_alpha 90.00
_cell_angle_beta 90.00
_cell_angle_gamma 90.00
_symmetry_space_group_name_H-M 'P 1'
_symmetry_Int_Tables_number 1
loop_
_symmetry_equiv_pos_as_xyz
'x,y,z'
loop_
_atom_site_label
_atom_site_fract_x
_atom_site_fract_y
_atom_site_fract_z
_atom_site_occupancy
I1 0.000 0.000 0.500 1
I2 0.000 0.500 0.000 1
Zr1 0.000 0.000 0.000 1
N1 0.500 0.000 0.000 1
Zn1 0.500 0.500 0.500 1
```

Properties
Its formation energy (no corrections) is -0.71 eV per formula unit.

# 4
A geometry-optimized ZrI2N structure, computed with PBEsol.

CIF file:
```
data_ZrI2N
_cell_length_a 6.207
_cell_length_b 7.011
_cell_length_c 6.207
_cell_angle_alpha 116.27
_cell_angle_beta 90.00
_cell_angle_gamma 116.27
_symmetry_space_group_name_H-M 'P 1'
_symmetry_Int_Tables_number 1
loop_
_symmetry_equiv_pos_as_xyz
'x,y,z'
loop_
_atom_site_label
_atom_site_fract_x
_atom_site_fract_y
_atom_site_fract_z
_atom_site_occupancy
I1 0.828 0.250 0.875 1
Zr1 0.250 0.500 0.750 1
Zr2 0.000 0.000 0.000 1
N1 0.500 0.000 0.500 1
I2 0.422 0.250 0.375 1
I3 0.125 0.750 0.578 1
I4 0.625 0.750 0.172 1
N2 0.750 0.500 0.250 1
```

Properties
Its formation energy (no corrections) is 3.97 eV per formula unit. The value obtained for the polymorph energy (0 for the lowest one) is 335 meV/atom.

# 5
A geometry-optimized Zr2IN structure, computed with PBEsol.

CIF file:
```
data_Zr2IN
_cell_length_a 5.654
_cell_length_b 5.654
_cell_length_c 6.874
_cell_angle_alpha 114.29
_cell_angle_beta 114.29
_cell_angle_gamma 90.00
_symmetry_space_group_name_H-M 'P 1'
_symmetry_Int_Tables_number 1
loop_
_symmetry_equiv_pos_as_xyz
'x,y,z'
loop_
_atom_site_label
_atom_site_fract_x
_atom_site_fract_y
_atom_site_fract_z
_atom_site_occupancy
Zr1 0.125 0.248 0.750 1
Zr2 0.752 0.375 0.250 1
I1 0.000 0.000 0.000 1
Zr3 0.625 0.502 0.750 1
I2 0.250 0.750 0.500 1
N1 0.750 0.250 0.500 1
N2 0.500 0.500 0.000 1
Zr4 0.498 0.875 0.250 1
```

Properties
Its formation energy (no corrections) is -2.50 eV per formula unit.

# 6
A geometry-optimized ZrIN structure, computed with PBEsol.

CIF file:
```
data_ZrIN
_cell_length_a 3.719
_cell_length_b 4.099
_cell_length_c 9.509
_cell_angle_alpha 90.00
_cell_angle_beta 90.00
_cell_angle_gamma 90.00
_symmetry_space_group_name_H-M 'P 1'
_symmetry_Int_Tables_number 1
loop_
_symmetry_equiv_pos_as_xyz
'x,y,z'
loop_
_atom_site_label
_atom_site_fract_x
_atom_site_fract_y
_atom_site_fract_z
_atom_site_occupancy
I1 0.000 0.000 0.670 1
N1 0.000 0.000 0.025 1
Zr1 0.000 0.500 0.089 1
N2 0.500 0.500 0.975 1
I2 0.500 0.500 0.330 1
Zr2 0.500 0.000 0.911 1
```

Properties
Its formation energy (no corrections) is -4.51 eV per formula unit.